{
  "formula": "RbGd2CuS4",
  "functional": "meta-GGA SCAN",
  "state": "single point on PBEsol structure",
  "total_magnetization_mub_per_fu": 13.97,
  "space_group": "Cmcm, No. 63",
  "mass_density_g_cm3": 5.3,
  "final_energy_ev_per_atom": -25.86,
  "lattice": [[1.976, -6.846, 0.000], [1.976, 6.846, 0.000], [0.000, 0.000, 13.595]],
  "species": ["Rb", "Rb", "Gd", "Gd", "Gd", "Gd", "Cu", "Cu", "S", "S", "S", "S", "S", "S", "S", "S"],
  "fractional_positions": [[0.106, 0.894, 0.750], [0.894, 0.106, 0.250], [0.366, 0.634, 0.561], [0.366, 0.634, 0.939], [0.634, 0.366, 0.061], [0.634, 0.366, 0.439], [0.165, 0.835, 0.250], [0.835, 0.165, 0.750], [0.000, 0.000, 0.000], [0.000, 0.000, 0.500], [0.260, 0.740, 0.111], [0.260, 0.740, 0.389], [0.425, 0.575, 0.750], [0.575, 0.425, 0.250], [0.740, 0.260, 0.611], [0.740, 0.260, 0.889]]
}